Rb3Zn2CrF9, relaxed, DFT PBE with a Hubbard U; calculated density = 4.50 g cm⁻³; symmetry = P-3m1; DFT total energy = -4.533 eV/atom; M_tot = 4.000 μB/f.u.; Fermi-level density of states = 3.614 states/eV/cell
1.0
5.966 0.000 0.000
-2.983 5.167 0.000
0.000 0.000 7.310
Rb Zn Cr F
3 2 1 9
Cartesian
0.000 0.000 0.000 Rb
0.000 3.445 4.883 Rb
2.983 1.722 2.427 Rb
0.000 3.445 1.202 Zn
2.983 1.722 6.108 Zn
0.000 0.000 3.655 Cr
-1.492 2.583 0.000 F
0.000 1.741 2.423 F
-1.475 4.296 2.423 F
1.508 0.871 4.887 F
2.983 0.000 0.000 F
1.492 2.583 0.000 F
1.475 4.296 2.423 F
4.458 0.871 4.887 F
2.983 3.426 4.887 F